Entry 1:
Material: Pu6S5
Method: DFT, GGA-PBE
State: optimized geometry

As for the mass density: 10.45 g/cm3. The calculation puts the uncorrected formation energy at -1.468 eV/atom. Its crystal system is monoclinic.

It has space group C2/m (No. 12), with a = 6.8054 Å, b = 11.8171 Å, c = 6.8159 Å, α = 90.00°, β = 109.72° and γ = 90.00°. The inequivalent atoms are Pu at (0.2433, 0.1631, 0.2438), Pu at (0.2436, 0.0000, 0.7501), S at (0.0000, 0.1742, 0.5000), S at (0.0000, 0.3348, 0.0000) and S at (0.0000, 0.5000, 0.5000).


Entry 2:
Material: Pu5S6
Method: DFT, GGA-PBE
State: optimized geometry

As for the mass density: 8.80 g/cm3. The calculation puts the uncorrected formation energy at -1.751 eV/atom. Its crystal system is monoclinic.

It has space group C2/m (No. 12), with a = 6.8975 Å, b = 11.9048 Å, c = 6.8779 Å, α = 90.00°, β = 109.26° and γ = 90.00°. The inequivalent atoms are Pu at (0.0000, 0.0000, 0.0000), Pu at (0.0000, 0.1679, 0.5000), Pu at (0.0000, 0.3385, 0.0000), S at (0.2405, 0.0000, 0.7505) and S at (0.2422, 0.1717, 0.2433).


Entry 3:
Material: Pu3S5
Method: DFT, GGA-PBE
State: optimized geometry

As for the mass density: 8.80 g/cm3. The calculation puts the uncorrected formation energy at -1.537 eV/atom. Its crystal system is hexagonal.

It has space group P6_3/mcm (No. 193), with a = 7.8288 Å, b = 7.8288 Å, c = 6.3441 Å, α = 90.00°, β = 90.00° and γ = 120.00°. The inequivalent atoms are Pu at (0.0000, 0.3873, 0.2500), S at (0.0000, 0.2561, 0.7500) and S at (0.3333, 0.6667, 0.0000).


Entry 4:
Material: Pu4S5
Method: DFT, GGA-PBE
State: optimized geometry

As for the mass density: 7.93 g/cm3. The calculation puts the uncorrected formation energy at -1.565 eV/atom. Its crystal system is tetragonal.

It has space group I4/m (No. 87), with a = 11.1170 Å, b = 11.1170 Å, c = 3.8509 Å, α = 90.00°, β = 90.00° and γ = 90.00°. The inequivalent atoms are Pu at (0.0913, 0.7806, 0.0000), S at (0.0000, 0.0000, 0.0000) and S at (0.0964, 0.2420, 0.5000).


Entry 5:
Material: PuS2
Method: DFT, GGA-PBE
State: optimized geometry

As for the mass density: 7.58 g/cm3. The calculation puts the uncorrected formation energy at -1.305 eV/atom. Its crystal system is orthorhombic.

It has space group Fmmm (No. 69), with a = 6.3053 Å, b = 6.3203 Å, c = 13.5443 Å, α = 90.00°, β = 90.00° and γ = 90.00°. The inequivalent atoms are Pu at (0.0000, 0.0000, 0.1336), S at (0.2500, 0.2500, 0.0000) and S at (0.2500, 0.2500, 0.2500).


Entry 6:
Material: Pu2S3
Method: DFT, GGA-PBE
State: optimized geometry

As for the mass density: 9.58 g/cm3. The calculation puts the uncorrected formation energy at -1.420 eV/atom. Its crystal system is tetragonal.

It has space group I4/mmm (No. 139), with a = 3.5726 Å, b = 3.5726 Å, c = 15.8649 Å, α = 90.00°, β = 90.00° and γ = 90.00°. The inequivalent atoms are Pu at (0.0000, 0.0000, 0.1187), S at (0.0000, 0.0000, 0.3065) and S at (0.0000, 0.0000, 0.5000).


Entry 7:
Material: Pu2Sb2S7
Method: DFT, GGA-PBE
State: optimized geometry

As for the mass density: 6.27 g/cm3. The calculation puts the uncorrected formation energy at -0.803 eV/atom. Its crystal system is orthorhombic.

It has space group Imm2 (No. 44), with a = 3.8997 Å, b = 15.1221 Å, c = 8.5919 Å, α = 90.00°, β = 90.00° and γ = 90.00°. The inequivalent atoms are Pu at (0.0000, 0.0000, 0.0000), Pu at (0.0000, 0.5000, 0.0375), Sb at (0.0000, 0.2303, 0.7195), S at (0.0000, 0.1236, 0.4925), S at (0.0000, 0.1846, 0.0883), S at (0.0000, 0.4049, 0.3174) and S at (0.0000, 0.5000, 0.7153).


Entry 8:
Material: PuSbS
Method: DFT, GGA-PBE
State: optimized geometry

As for the mass density: 8.86 g/cm3. The calculation puts the uncorrected formation energy at -0.806 eV/atom. Its crystal system is tetragonal.

It has space group I4mm (No. 107), with a = 3.5940 Å, b = 3.5940 Å, c = 11.5496 Å, α = 90.00°, β = 90.00° and γ = 90.00°. The inequivalent atoms are Pu at (0.0000, 0.0000, 0.0000), Sb at (0.0000, 0.0000, 0.7022) and S at (0.0000, 0.0000, 0.4164).